# 1
A relaxed TlBPt3 crystal, computed with GGA-PBE.

a b c (Å): 5.0915 5.0915 5.0915
angles (deg): 90.00 90.00 90.00
Space group Pm-3m (No. 221)
Asymmetric unit:
Tl 0.0000 0.0000 0.0000 x1
B 0.5000 0.5000 0.5000 x1
Pt 0.0000 0.0000 0.5000 x3

## Properties
The magnetization is 0.000 μB per cell. The value obtained for the formation energy from the elements is 1075 kJ/mol of formula units.

---

# 2
A relaxed TbPmSn2 crystal, computed with GGA-PBE.

a b c (Å): 4.3470 4.5746 11.5738
angles (deg): 90.00 90.00 90.00
Space group Amm2 (No. 38)
Asymmetric unit:
Tb 0.0000 0.0000 0.0000 x2
Pm 0.5000 0.0000 0.2697 x2
Sn 0.0000 0.0000 0.7262 x2
Sn 0.5000 0.0000 0.5429 x2

## Properties
The magnetization is 0.000 μB per cell. The value obtained for the formation energy from the elements is -294 kJ/mol of formula units.

---

# 3
A relaxed Na2HfInRu crystal, computed with GGA-PBE.

a b c (Å): 5.9769 5.9769 4.5915
angles (deg): 90.00 90.00 90.00
Space group P4/mmm (No. 123)
Asymmetric unit:
Na 0.0000 0.5000 0.0000 x2
Hf 0.0000 0.0000 0.0000 x1
In 0.5000 0.5000 0.5000 x1
Ru 0.0000 0.0000 0.5000 x1

## Properties
The magnetization is 0.000 μB per cell. The value obtained for the formation energy from the elements is 491 kJ/mol of formula units.

---

# 4
A relaxed LaCeGeSe crystal, computed with GGA-PBE.

a b c (Å): 4.3138 4.3138 21.0863
angles (deg): 90.00 90.00 120.00
Space group R3m (No. 160, hexagonal axes)
Asymmetric unit:
La 0.0000 0.0000 0.0000 x3
Ce 0.0000 0.0000 0.5046 x3
Ge 0.0000 0.0000 0.2481 x3
Se 0.0000 0.0000 0.7551 x3

## Properties
The calculation puts the formation energy from raw total energies at -1.369 eV per atom. The magnetization is 1.847 μB per cell.